# Cd2AgRh (GGA-PBE, optimized geometry)
# E_form in eV/atom: 0.01
# Magnetization in μB/atom: 0.00
# Density in Mg/m³: 9.97
# Energy in eV per atom: -3.001
data_Cd2AgRh
_cell_length_a 4.811
_cell_length_b 3.112
_cell_length_c 5.140
_cell_angle_alpha 90.00
_cell_angle_beta 109.56
_cell_angle_gamma 90.00
_symmetry_space_group_name_H-M 'P 1 2/m 1'
_symmetry_Int_Tables_number 10
loop_
_symmetry_equiv_pos_as_xyz
'x,y,z'
'-x,-y,-z'
'-x,y,-z'
'x,-y,z'
loop_
_atom_site_label
_atom_site_type_symbol
_atom_site_fract_x
_atom_site_fract_y
_atom_site_fract_z
Cd1 Cd 0.000 0.000 0.000
Cd2 Cd 0.000 0.500 0.500
Ag1 Ag 0.500 0.000 0.500
Rh1 Rh 0.500 0.500 0.000